Entry 1:
DFT (PBE) results for a relaxed In2NiIr crystal.

Cell and atoms, written as POSCAR:
```
In2NiIr
1.0
5.231 0.010 0.000
2.333 4.682 0.000
-3.782 -2.346 2.749
Ir In Ni
1 2 1
Direct
0.500 0.500 0.000
0.000 0.000 0.000
0.250 0.750 0.500
0.750 0.250 0.500
```

Properties
V = 16.81 Å³ per atom
M_tot = 0.00 μB/f.u.
E_form = 0.035 eV per atom



Entry 2:
DFT (PBE) results for a relaxed InNiIr2 crystal.

Cell and atoms, written as POSCAR:
```
InNiIr2
1.0
2.840 0.000 0.000
0.000 2.840 0.000
0.000 0.000 7.449
Ni Ir In
1 2 1
Direct
0.000 0.000 0.487
0.000 0.000 0.017
0.500 0.500 0.260
0.500 0.500 0.736
```

Properties
V = 15.02 Å³ per atom
M_tot = 0.00 μB/f.u.
E_form = 0.082 eV per atom



Entry 3:
DFT (PBE) results for a relaxed InNiIr2 crystal.

Cell and atoms, written as POSCAR:
```
InNiIr2
1.0
3.900 0.000 0.000
0.000 3.900 0.000
1.950 1.950 8.954
Ir In Ni
4 2 2
Direct
0.571 0.125 0.250
0.179 0.625 0.250
0.375 0.429 0.750
0.875 0.821 0.750
0.750 0.250 0.500
0.000 0.000 0.000
0.250 0.750 0.500
0.500 0.500 0.000
```

Properties
V = 17.03 Å³ per atom
M_tot = 0.00 μB/f.u.
E_form = 0.404 eV per atom



Entry 4:
DFT (PBE) results for a relaxed InNi2Ir crystal.

Cell and atoms, written as POSCAR:
```
InNi2Ir
1.0
-1.684 0.058 4.176
1.833 -5.231 -2.948
2.350 -1.254 0.966
Ir Ni In
1 2 1
Direct
0.500 0.000 0.500
0.000 0.500 0.500
0.000 0.000 0.000
0.500 0.500 0.000
```

Properties
V = 13.99 Å³ per atom
M_tot = 0.00 μB/f.u.
E_form = 0.023 eV per atom